# 1
The following is a DFT calculation (GGA-PBE) of a relaxed Pm2Nd3Ho3 crystal.

Results
Its formation energy is 2.95 kcal/mol of atoms. The calculation puts the energy above the most stable polymorph in this dataset at 110.2 meV/atom.

a b c (Å): 6.628 6.628 16.119
angles (deg): 90.00 90.00 129.76
Fractional positions:
1 Pm 0.221 0.779 0.628
2 Pm 0.221 0.779 0.872
3 Pm 0.779 0.221 0.128
4 Pm 0.779 0.221 0.372
5 Nd 0.076 0.924 0.094
6 Nd 0.076 0.924 0.406
7 Nd 0.266 0.734 0.250
8 Nd 0.734 0.266 0.750
9 Nd 0.924 0.076 0.594
10 Nd 0.924 0.076 0.906
11 Ho 0.381 0.619 0.050
12 Ho 0.381 0.619 0.450
13 Ho 0.459 0.541 0.750
14 Ho 0.541 0.459 0.250
15 Ho 0.619 0.381 0.550
16 Ho 0.619 0.381 0.950


# 2
The following is a DFT calculation (GGA-PBE) of a relaxed Pm3NdHo8 crystal.

Results
Its formation energy is 0.43 kcal/mol of atoms.

a b c (Å): 8.479 8.479 10.890
angles (deg): 129.88 129.88 43.61
Fractional positions:
1 Pm 0.000 0.000 0.000
2 Pm 0.087 0.413 0.750
3 Pm 0.587 0.913 0.250
4 Nd 0.500 0.500 0.500
5 Ho 0.004 0.996 0.332
6 Ho 0.004 0.996 0.668
7 Ho 0.083 0.416 0.082
8 Ho 0.083 0.417 0.418
9 Ho 0.503 0.496 0.832
10 Ho 0.504 0.497 0.168
11 Ho 0.583 0.917 0.582
12 Ho 0.584 0.917 0.918


# 3
The following is a DFT calculation (GGA-PBE) of a relaxed Pm2Nd2Ho5 crystal.

Results
Its formation energy is 5.54 kcal/mol of atoms. The calculation puts the energy above the most stable polymorph in this dataset at 35.4 meV/atom.

a b c (Å): 3.503 8.341 10.884
angles (deg): 80.25 80.74 89.98
Fractional positions:
1 Pm 0.045 0.355 0.409
2 Pm 0.955 0.645 0.591
3 Nd 0.313 0.855 0.873
4 Nd 0.687 0.145 0.127
5 Ho 0.190 0.522 0.120
6 Ho 0.399 0.260 0.703
7 Ho 0.500 0.000 0.500
8 Ho 0.601 0.740 0.297
9 Ho 0.810 0.478 0.880


# 4
The following is a DFT calculation (GGA-PBE) of a relaxed PmNd5Ho3 crystal.

Results
Its formation energy is 10.72 kcal/mol of atoms. The calculation puts the energy above the most stable polymorph in this dataset at 186.3 meV/atom.

a b c (Å): 9.650 9.650 9.929
angles (deg): 120.43 120.43 74.92
Fractional positions:
1 Pm 0.249 0.249 0.087
2 Pm 0.751 0.751 0.913
3 Nd 0.106 0.609 0.760
4 Nd 0.230 0.230 0.735
5 Nd 0.246 0.754 0.500
6 Nd 0.273 0.273 0.448
7 Nd 0.391 0.894 0.240
8 Nd 0.609 0.106 0.760
9 Nd 0.727 0.727 0.552
10 Nd 0.754 0.246 0.500
11 Nd 0.770 0.770 0.265
12 Nd 0.894 0.391 0.240
13 Ho 0.000 0.000 0.000
14 Ho 0.006 0.006 0.324
15 Ho 0.486 0.486 0.149
16 Ho 0.500 0.500 0.500
17 Ho 0.514 0.514 0.851
18 Ho 0.994 0.994 0.676


# 5
The following is a DFT calculation (GGA-PBE) of a relaxed Pm3Nd3Ho crystal.

Results
Its formation energy is 0.60 kcal/mol of atoms. The calculation puts the energy above the most stable polymorph in this dataset at 0.0 meV/atom.

a b c (Å): 9.769 9.769 5.861
angles (deg): 90.00 90.00 120.00
Fractional positions:
1 Pm 0.046 0.239 0.250
2 Pm 0.192 0.954 0.250
3 Pm 0.239 0.192 0.750
4 Pm 0.761 0.808 0.250
5 Pm 0.808 0.046 0.750
6 Pm 0.954 0.761 0.750
7 Nd 0.095 0.476 0.750
8 Nd 0.381 0.905 0.750
9 Nd 0.476 0.381 0.250
10 Nd 0.524 0.619 0.750
11 Nd 0.619 0.095 0.250
12 Nd 0.905 0.524 0.250
13 Ho 0.333 0.667 0.250
14 Ho 0.667 0.333 0.750


# 6
The following is a DFT calculation (GGA-PBE) of a relaxed Pm2NdHo4 crystal.

Results
Its formation energy is 2.81 kcal/mol of atoms. The calculation puts the energy above the most stable polymorph in this dataset at 79.9 meV/atom.

a b c (Å): 6.109 6.612 11.659
angles (deg): 90.00 104.28 90.00
Fractional positions:
1 Pm 0.101 0.250 0.488
2 Pm 0.343 0.750 0.049
3 Pm 0.657 0.250 0.951
4 Pm 0.899 0.750 0.512
5 Nd 0.463 0.750 0.637
6 Nd 0.537 0.250 0.363
7 Ho 0.157 0.008 0.790
8 Ho 0.157 0.492 0.790
9 Ho 0.218 0.250 0.078
10 Ho 0.355 0.750 0.333
11 Ho 0.645 0.250 0.667
12 Ho 0.782 0.750 0.922
13 Ho 0.843 0.508 0.210
14 Ho 0.843 0.992 0.210


# 7
The following is a DFT calculation (GGA-PBE) of a relaxed Pm12Nd5Ho2 crystal.

Results
Its formation energy is 3.88 kcal/mol of atoms. The calculation puts the energy above the most stable polymorph in this dataset at 71.5 meV/atom.

a b c (Å): 10.062 10.062 10.505
angles (deg): 110.20 110.20 42.05
Fractional positions:
1 Pm 0.002 0.002 0.320
2 Pm 0.083 0.585 0.480
3 Pm 0.092 0.589 0.134
4 Pm 0.411 0.908 0.866
5 Pm 0.415 0.917 0.520
6 Pm 0.477 0.477 0.759
7 Pm 0.523 0.523 0.241
8 Pm 0.585 0.083 0.480
9 Pm 0.589 0.092 0.134
10 Pm 0.908 0.411 0.866
11 Pm 0.917 0.415 0.520
12 Pm 0.998 0.998 0.680
13 Nd 0.175 0.175 0.208
14 Nd 0.315 0.315 0.816
15 Nd 0.500 0.500 0.500
16 Nd 0.685 0.685 0.184
17 Nd 0.825 0.825 0.792
18 Ho 0.220 0.780 0.000
19 Ho 0.780 0.220 0.000


# 8
The following is a DFT calculation (GGA-PBE) of a relaxed Pm12Nd2Ho crystal.

Results
Its formation energy is 7.19 kcal/mol of atoms.

a b c (Å): 6.566 6.566 25.414
angles (deg): 90.00 90.00 90.00
Fractional positions:
1 Pm 0.065 0.565 0.113
2 Pm 0.065 0.935 0.887
3 Pm 0.083 0.583 0.562
4 Pm 0.083 0.917 0.438
5 Pm 0.250 0.250 0.214
6 Pm 0.250 0.250 0.338
7 Pm 0.250 0.250 0.662
8 Pm 0.250 0.250 0.786
9 Pm 0.417 0.583 0.438
10 Pm 0.417 0.917 0.562
11 Pm 0.435 0.565 0.887
12 Pm 0.435 0.935 0.113
13 Pm 0.565 0.065 0.887
14 Pm 0.565 0.435 0.113
15 Pm 0.583 0.083 0.438
16 Pm 0.583 0.417 0.562
17 Pm 0.750 0.750 0.214
18 Pm 0.750 0.750 0.338
19 Pm 0.750 0.750 0.662
20 Pm 0.750 0.750 0.786
21 Pm 0.917 0.083 0.562
22 Pm 0.917 0.417 0.438
23 Pm 0.935 0.065 0.113
24 Pm 0.935 0.435 0.887
25 Nd 0.250 0.750 0.268
26 Nd 0.250 0.750 0.732
27 Nd 0.750 0.250 0.268
28 Nd 0.750 0.250 0.732
29 Ho 0.250 0.750 0.000
30 Ho 0.750 0.250 0.000


# 9
The following is a DFT calculation (GGA-PBE) of a relaxed Pm2NdHo crystal.

Results
Its formation energy is 0.41 kcal/mol of atoms. The calculation puts the energy above the most stable polymorph in this dataset at 1.8 meV/atom.

a b c (Å): 11.973 11.973 11.973
angles (deg): 17.48 17.48 17.48
Fractional positions:
1 Pm 0.000 0.000 0.000
2 Pm 0.170 0.170 0.170
3 Nd 0.418 0.418 0.418
4 Ho 0.585 0.585 0.585


# 10
The following is a DFT calculation (GGA-PBE) of a relaxed Pm5Nd3Ho2 crystal.

Results
Its formation energy is 4.13 kcal/mol of atoms.

a b c (Å): 9.318 9.318 9.972
angles (deg): 108.52 108.52 108.46
Fractional positions:
1 Pm 0.020 0.980 0.750
2 Pm 0.140 0.386 0.770
3 Pm 0.272 0.728 0.250
4 Pm 0.386 0.140 0.270
5 Pm 0.475 0.525 0.250
6 Pm 0.525 0.475 0.750
7 Pm 0.614 0.860 0.730
8 Pm 0.728 0.272 0.750
9 Pm 0.860 0.614 0.230
10 Pm 0.980 0.020 0.250
11 Nd 0.022 0.273 0.054
12 Nd 0.229 0.771 0.750
13 Nd 0.273 0.022 0.554
14 Nd 0.727 0.978 0.446
15 Nd 0.771 0.229 0.250
16 Nd 0.978 0.727 0.946
17 Ho 0.220 0.467 0.448
18 Ho 0.467 0.220 0.948
19 Ho 0.533 0.780 0.052
20 Ho 0.780 0.533 0.552


# 11
The following is a DFT calculation (GGA-PBE) of a relaxed Pm3NdHo2 crystal.

Results
Its formation energy is 3.24 kcal/mol of atoms. The calculation puts the energy above the most stable polymorph in this dataset at 0.0 meV/atom.

a b c (Å): 10.022 10.022 10.022
angles (deg): 137.28 58.12 142.51
Fractional positions:
1 Pm 0.248 0.998 0.250
2 Pm 0.317 0.249 0.068
3 Pm 0.318 0.751 0.568
4 Pm 0.682 0.249 0.432
5 Pm 0.683 0.751 0.932
6 Pm 0.752 0.002 0.750
7 Nd 0.254 0.504 0.750
8 Nd 0.746 0.496 0.250
9 Ho 0.147 0.000 0.647
10 Ho 0.147 0.500 0.147
11 Ho 0.853 0.000 0.353
12 Ho 0.853 0.500 0.853


# 12
The following is a DFT calculation (GGA-PBE) of a relaxed PmNd5Ho3 crystal.

Results
Its formation energy is 6.42 kcal/mol of atoms. The calculation puts the energy above the most stable polymorph in this dataset at 0.0 meV/atom.

a b c (Å): 10.601 10.601 11.687
angles (deg): 120.52 120.52 34.34
Fractional positions:
1 Pm 0.120 0.880 0.750
2 Pm 0.880 0.120 0.250
3 Nd 0.006 0.634 0.165
4 Nd 0.186 0.536 0.847
5 Nd 0.366 0.994 0.335
6 Nd 0.397 0.603 0.250
7 Nd 0.464 0.814 0.653
8 Nd 0.536 0.186 0.347
9 Nd 0.603 0.397 0.750
10 Nd 0.634 0.006 0.665
11 Nd 0.814 0.464 0.153
12 Nd 0.994 0.366 0.835
13 Ho 0.000 0.000 0.000
14 Ho 0.000 0.000 0.500
15 Ho 0.041 0.604 0.468
16 Ho 0.396 0.959 0.032
17 Ho 0.604 0.041 0.968
18 Ho 0.959 0.396 0.532


# 13
The following is a DFT calculation (GGA-PBE) of a relaxed Pm12Nd3Ho crystal.

Results
Its formation energy is 0.31 kcal/mol of atoms.

a b c (Å): 5.157 5.157 20.617
angles (deg): 90.00 90.00 90.00
Fractional positions:
1 Pm 0.000 0.000 0.000
2 Pm 0.000 0.000 0.248
3 Pm 0.000 0.000 0.500
4 Pm 0.000 0.000 0.752
5 Pm 0.000 0.500 0.123
6 Pm 0.000 0.500 0.375
7 Pm 0.000 0.500 0.625
8 Pm 0.000 0.500 0.877
9 Pm 0.500 0.000 0.123
10 Pm 0.500 0.000 0.375
11 Pm 0.500 0.000 0.625
12 Pm 0.500 0.000 0.877
13 Nd 0.500 0.500 0.249
14 Nd 0.500 0.500 0.500
15 Nd 0.500 0.500 0.751
16 Ho 0.500 0.500 0.000


# 14
The following is a DFT calculation (GGA-PBE) of a relaxed Pm4Nd8Ho3 crystal.

Results
Its formation energy is 2.88 kcal/mol of atoms. The calculation puts the energy above the most stable polymorph in this dataset at 0.0 meV/atom.

a b c (Å): 12.723 12.723 12.723
angles (deg): 32.28 32.28 32.28
Fractional positions:
1 Pm 0.000 0.000 0.000
2 Pm 0.164 0.164 0.164
3 Pm 0.500 0.500 0.500
4 Pm 0.836 0.836 0.836
5 Nd 0.250 0.250 0.747
6 Nd 0.250 0.747 0.250
7 Nd 0.253 0.750 0.750
8 Nd 0.254 0.254 0.254
9 Nd 0.746 0.746 0.746
10 Nd 0.747 0.250 0.250
11 Nd 0.750 0.253 0.750
12 Nd 0.750 0.750 0.253
13 Ho 0.000 0.500 0.500
14 Ho 0.500 0.000 0.500
15 Ho 0.500 0.500 0.000


# 15
The following is a DFT calculation (GGA-PBE) of a relaxed Pm6Nd5Ho2 crystal.

Results
Its formation energy is 2.09 kcal/mol of atoms.

a b c (Å): 11.806 20.919 3.651
angles (deg): 90.00 90.00 90.00
Fractional positions:
1 Pm 0.063 0.081 0.000
2 Pm 0.083 0.368 0.000
3 Pm 0.174 0.639 0.500
4 Pm 0.326 0.139 0.500
5 Pm 0.417 0.868 0.000
6 Pm 0.437 0.581 0.000
7 Pm 0.563 0.419 0.000
8 Pm 0.583 0.132 0.000
9 Pm 0.674 0.861 0.500
10 Pm 0.826 0.361 0.500
11 Pm 0.917 0.632 0.000
12 Pm 0.937 0.919 0.000
13 Nd 0.000 0.500 0.500
14 Nd 0.087 0.227 0.500
15 Nd 0.197 0.946 0.500
16 Nd 0.303 0.446 0.500
17 Nd 0.413 0.727 0.500
18 Nd 0.500 0.000 0.500
19 Nd 0.587 0.273 0.500
20 Nd 0.697 0.554 0.500
21 Nd 0.803 0.054 0.500
22 Nd 0.913 0.773 0.500
23 Ho 0.169 0.789 0.000
24 Ho 0.331 0.289 0.000
25 Ho 0.669 0.711 0.000
26 Ho 0.831 0.211 0.000


# 16
The following is a DFT calculation (GGA-PBE) of a relaxed Pm2NdHo4 crystal.

Results
Its formation energy is 0.97 kcal/mol of atoms. The calculation puts the energy above the most stable polymorph in this dataset at 0.0 meV/atom.

a b c (Å): 8.600 8.600 8.809
angles (deg): 119.08 119.08 23.82
Fractional positions:
1 Pm 0.069 0.069 0.428
2 Pm 0.931 0.931 0.572
3 Nd 0.000 0.000 0.000
4 Ho 0.293 0.293 0.707
5 Ho 0.354 0.354 0.157
6 Ho 0.646 0.646 0.843
7 Ho 0.707 0.707 0.293


# 17
The following is a DFT calculation (GGA-PBE) of a relaxed PmNd6Ho8 crystal.

Results
Its formation energy is 2.85 kcal/mol of atoms.

a b c (Å): 8.728 8.728 8.728
angles (deg): 62.96 62.96 62.96
Fractional positions:
1 Pm 0.000 0.000 0.000
2 Nd 0.104 0.228 0.538
3 Nd 0.228 0.538 0.104
4 Nd 0.462 0.896 0.772
5 Nd 0.538 0.104 0.228
6 Nd 0.772 0.462 0.896
7 Nd 0.896 0.772 0.462
8 Ho 0.112 0.748 0.717
9 Ho 0.252 0.283 0.888
10 Ho 0.283 0.888 0.252
11 Ho 0.424 0.424 0.424
12 Ho 0.576 0.576 0.576
13 Ho 0.717 0.112 0.748
14 Ho 0.748 0.717 0.112
15 Ho 0.888 0.252 0.283


# 18
The following is a DFT calculation (GGA-PBE) of a relaxed Pm8Nd3Ho2 crystal.

Results
Its formation energy is 3.57 kcal/mol of atoms. The calculation puts the energy above the most stable polymorph in this dataset at 0.0 meV/atom.

a b c (Å): 8.884 8.884 6.226
angles (deg): 107.21 107.21 83.72
Fractional positions:
1 Pm 0.055 0.055 0.285
2 Pm 0.070 0.583 0.826
3 Pm 0.345 0.345 0.450
4 Pm 0.417 0.930 0.174
5 Pm 0.583 0.070 0.826
6 Pm 0.655 0.655 0.550
7 Pm 0.930 0.417 0.174
8 Pm 0.945 0.945 0.715
9 Nd 0.257 0.743 0.500
10 Nd 0.500 0.500 0.000
11 Nd 0.743 0.257 0.500
12 Ho 0.212 0.212 0.855
13 Ho 0.788 0.788 0.145


no.,energy (eV/atom)
1,-4.5642
2,-4.6182
3,-4.4183
4,-4.2378
5,-4.7074
6,-4.5323
7,-4.5689
8,-4.4296
9,-4.6941
10,-4.5423
11,-4.5554
12,-4.4242
13,-4.7298
14,-4.6002
15,-4.6401
16,-4.6122
17,-4.5416
18,-4.5730